## w
## AgOsAu2 (SCAN)

Data for a crystal of AgOsAu2 relaxed with PBEsol.

Space group: Fm-3m, No. 225

```
AgOsAu2
1.0
-1.3733 1.1903 4.1273
-1.7423 -3.0967 2.7771
2.3246 -1.3415 3.6241
Os Au Ag
1 2 1
direct
0.5000 0.5000 0.5000
0.2500 0.2500 0.2500
0.7500 0.7500 0.7500
0.0000 0.0000 0.0000
```

=====

## x
## AgOsAu2 (SCAN)

Data for a crystal of AgOsAu2 relaxed with PBEsol.

Space group: Cmm2, No. 35

```
AgOsAu2
1.0
-0.9543 0.0492 2.5742
1.5394 -2.1304 -0.7945
8.0280 4.7244 2.8860
Os Au Ag
1 2 1
direct
0.0000 0.0000 0.4989
0.0000 0.0000 0.0022
0.5000 0.5000 0.7454
0.5000 0.5000 0.2535
```

=====

Least stable of them? w.

=====

## w
## AgP4Au (SCAN)

Data for a crystal of AgP4Au relaxed with PBEsol.

Space group: F-43m, No. 216

```
AgP4Au
1.0
5.3286 0.0000 0.0000
2.6643 4.6147 0.0000
2.6643 1.5382 4.3508
Ag Au P
1 1 4
direct
0.7500 0.7500 0.7500
0.0000 0.0000 0.0000
0.3555 0.3555 0.3555
0.3555 0.3555 0.9334
0.9334 0.3555 0.3555
0.3555 0.9334 0.3555
```

=====

## x
## AgP4Au (SCAN)

Data for a crystal of AgP4Au relaxed with PBEsol.

Space group: P-1, No. 2

```
AgP4Au
1.0
-0.8588 0.8110 -2.9861
3.8276 -0.6025 -2.8778
-2.1759 -7.2710 -1.4143
P Au Ag
4 1 1
direct
0.1781 0.6607 0.7592
0.8219 0.3393 0.2408
0.1722 0.6603 0.2409
0.8278 0.3397 0.7591
0.0000 0.0000 0.0000
0.0000 0.0000 0.5000
```

=====

Least stable of them? w.

=====

## w
## AgPbAu (SCAN)

Data for a crystal of AgPbAu relaxed with PBEsol.

Space group: Imm2, No. 44

```
AgPbAu
1.0
-0.0763 3.6318 -0.3695
-3.8281 -0.0625 0.1760
2.1452 -1.3374 4.4524
Pb Au Ag
1 1 1
direct
0.3312 0.3312 0.6625
0.6641 0.6641 0.3282
0.0046 0.0046 0.0093
```

=====

## x
## AgPbAu (SCAN)

Data for a crystal of AgPbAu relaxed with PBEsol.

Space group: F-43m, No. 216

```
AgPbAu
1.0
4.6118 0.0000 0.0000
2.3059 3.9939 0.0000
2.3059 1.3313 3.7655
Pb Au Ag
1 1 1
direct
0.0000 0.0000 0.0000
0.2500 0.2500 0.2500
0.5000 0.5000 0.5000
```

=====

Least stable of them? w.

=====

## w
## AgPtAu2 (SCAN)

Data for a crystal of AgPtAu2 relaxed with PBEsol.

Space group: R-3m, No. 166

```
AgPtAu2
1.0
2.8183 0.0000 0.0000
1.4092 2.4407 0.0000
1.4092 0.8136 9.4243
Au Pt Ag
2 1 1
direct
0.2496 0.2496 0.2512
0.7504 0.7504 0.7488
0.5000 0.5000 0.5000
0.0000 0.0000 0.0000
```

=====

## x
## AgPtAu2 (SCAN)

Data for a crystal of AgPtAu2 relaxed with PBEsol.

Space group: R3m, No. 160

```
AgPtAu2
1.0
-1.7802 1.4514 1.6182
-2.7723 -0.2731 -0.3657
-1.6407 -6.7389 6.6783
Au Pt Ag
2 1 1
direct
0.9990 0.9990 0.0030
0.7515 0.7515 0.7455
0.5009 0.5009 0.4973
0.2486 0.2486 0.2542
```

=====

## y
## AgPtAu2 (SCAN)

Data for a crystal of AgPtAu2 relaxed with PBEsol.

Space group: I4/mmm, No. 139

```
AgPtAu2
1.0
4.1016 0.0000 0.0000
0.0000 4.1016 0.0000
-2.0508 -2.0508 3.8617
Au Pt Ag
2 1 1
direct
0.7500 0.2500 0.5000
0.2500 0.7500 0.5000
0.5000 0.5000 0.0000
0.0000 0.0000 0.0000
```

=====

Least stable of them? y.

=====

## w
## AgPtAu2 (SCAN)

Data for a crystal of AgPtAu2 relaxed with PBEsol.

Space group: Fm-3m, No. 225

```
AgPtAu2
1.0
-2.4656 -1.8027 -3.3305
0.9568 -4.1423 -1.5319
-2.8051 -3.4345 0.8699
Au Pt Ag
2 1 1
direct
0.2500 0.2500 0.2500
0.7500 0.7500 0.7500
0.5000 0.5000 0.5000
0.0000 0.0000 0.0000
```

=====

## x
## AgPtAu2 (SCAN)

Data for a crystal of AgPtAu2 relaxed with PBEsol.

Space group: Immm, No. 71

```
AgPtAu2
1.0
2.8630 0.0000 0.0000
0.0000 4.7892 0.0000
-1.4315 -2.3946 4.7873
Au Pt Ag
2 1 1
direct
0.7538 0.7538 0.5077
0.2462 0.2462 0.4923
0.5000 0.0000 0.0000
0.0000 0.5000 0.0000
```

=====

## y
## AgPtAu2 (SCAN)

Data for a crystal of AgPtAu2 relaxed with PBEsol.

Space group: C2/m, No. 12

```
AgPtAu2
1.0
-0.7640 -2.2202 -1.5861
3.8648 2.0407 -2.1874
2.3625 -3.0562 3.1401
Au Pt Ag
2 1 1
direct
0.7531 0.5061 0.7525
0.2469 0.4939 0.2475
0.5000 0.0000 0.0000
0.0000 0.0000 0.5000
```

=====

## z
## AgPtAu2 (SCAN)

Data for a crystal of AgPtAu2 relaxed with PBEsol.

Space group: Cm, No. 8

```
AgPtAu2
1.0
2.8473 0.0000 0.0000
0.0000 4.8862 -0.0059
-1.4237 -0.8425 4.6641
Au Pt Ag
2 1 1
direct
0.0004 0.9972 0.0007
0.7526 0.2557 0.5052
0.4993 0.4974 0.9986
0.2477 0.7496 0.4955
```

=====

Least stable of them? x.

=====

## w
## AgPtAu2 (SCAN)

Data for a crystal of AgPtAu2 relaxed with PBEsol.

Space group: Pmm2, No. 25

```
AgPtAu2
1.0
-0.5920 -1.5495 -2.2776
3.5395 -2.9633 1.0960
-3.0720 -2.6949 2.6345
Au Pt Ag
2 1 1
direct
0.8754 0.0000 0.9518
0.8747 0.5000 0.3019
0.3752 0.0000 0.4505
0.3747 0.5000 0.7958
```

=====

## x
## AgPtAu2 (SCAN)

Data for a crystal of AgPtAu2 relaxed with PBEsol.

Space group: Imm2, No. 44

```
AgPtAu2
1.0
-1.5161 -1.9137 1.4524
-0.5551 -2.5892 -3.9910
5.0689 -0.1750 2.2824
Au Pt Ag
2 1 1
direct
0.0010 0.0010 0.0021
0.7530 0.2530 0.5060
0.4985 0.4985 0.9970
0.2474 0.7474 0.4949
```

=====

## y
## AgPtAu2 (SCAN)

Data for a crystal of AgPtAu2 relaxed with PBEsol.

Space group: Pmmm, No. 47

```
AgPtAu2
1.0
-0.7305 2.4842 1.0694
-3.8571 -0.7065 -0.9936
-0.8656 -2.4506 5.1027
Au Pt Ag
2 1 1
direct
0.0001 0.0000 0.7528
0.9999 0.0000 0.2472
0.5000 0.5000 0.0000
0.5000 0.5000 0.5000
```

=====

Least stable of them? x.

=====

## w
## AgPtAu2 (SCAN)

Data for a crystal of AgPtAu2 relaxed with PBEsol.

Space group: P4/mmm, No. 123

```
AgPtAu2
1.0
-1.3471 2.3695 -0.6878
-1.5367 -0.1926 2.3460
5.6406 4.3837 4.0548
Au Pt Ag
2 1 1
direct
0.0000 0.0000 0.7540
0.0000 0.0000 0.2460
0.5000 0.5000 0.0000
0.5000 0.5000 0.5000
```

=====

## x
## AgPtAu2 (SCAN)

Data for a crystal of AgPtAu2 relaxed with PBEsol.

Space group: P4mm, No. 99

```
AgPtAu2
1.0
-1.5734 -0.5689 -2.2670
-1.2449 -2.1089 1.3933
-5.7487 5.1717 2.6918
Au Pt Ag
2 1 1
direct
0.0000 0.0000 0.9981
0.5000 0.5000 0.2563
0.0000 0.0000 0.5013
0.5000 0.5000 0.7443
```

=====

Least stable of them? x.

=====

## w
## AgPtAu2 (SCAN)

Data for a crystal of AgPtAu2 relaxed with PBEsol.

Space group: Cmm2, No. 35

```
AgPtAu2
1.0
2.7848 -0.0080 0.0000
-1.3358 2.4436 0.0000
0.0000 0.0000 9.6388
Au Pt Ag
2 1 1
direct
0.0000 0.0000 0.0026
0.5000 0.5000 0.7465
0.0000 0.0000 0.4977
0.5000 0.5000 0.2533
```

=====

## x
## AgPtAu2 (SCAN)

Data for a crystal of AgPtAu2 relaxed with PBEsol.

Space group: Cmmm, No. 65

```
AgPtAu2
1.0
-1.8393 -1.5201 1.4369
2.1534 -1.2922 -1.2049
5.2106 1.2405 7.9821
Au Pt Ag
2 1 1
direct
0.0000 0.0000 0.2509
0.0000 0.0000 0.7491
0.5000 0.5000 0.5000
0.5000 0.5000 0.0000
```

=====

Least stable of them? x.

=====

## w
## AgPtAu (SCAN)

Data for a crystal of AgPtAu relaxed with PBEsol.

Space group: P3m1, No. 156

```
AgPtAu
1.0
-2.5778 0.3718 -1.0229
0.3469 -1.0305 2.5782
-0.0996 6.5563 2.6340
Au Pt Ag
1 1 1
direct
0.3333 0.6667 0.6668
0.6667 0.3333 0.3306
0.0000 0.0000 0.0025
```

=====

## x
## AgPtAu (SCAN)

Data for a crystal of AgPtAu relaxed with PBEsol.

Space group: Imm2, No. 44

```
AgPtAu
1.0
2.7950 0.0000 0.0000
0.0000 4.0555 0.0000
-1.3975 -2.0278 4.2400
Au Pt Ag
1 1 1
direct
0.6681 0.6681 0.3362
0.3332 0.3332 0.6664
0.9987 0.9987 0.9975
```

=====

## y
## AgPtAu (SCAN)

Data for a crystal of AgPtAu relaxed with PBEsol.

Space group: Fmm2, No. 42

```
AgPtAu
1.0
-2.6337 -0.8362 -0.0966
1.9598 -1.8721 0.5472
-0.3474 2.6962 6.8172
Au Pt Ag
1 1 1
direct
0.3333 0.3333 0.6666
0.6654 0.6654 0.3307
0.0013 0.0013 0.0027
```

=====

Least stable of them? x.

=====

## w
## AgRuAu (SCAN)

Data for a crystal of AgRuAu relaxed with PBEsol.

Space group: Imm2, No. 44

```
AgRuAu
1.0
2.7108 0.0000 0.0000
0.0000 4.0811 0.0000
-1.3554 -2.0406 4.2348
Ag Au Ru
1 1 1
direct
0.9981 0.9981 0.9962
0.6697 0.6697 0.3393
0.3322 0.3322 0.6645
```

=====

## x
## AgRuAu (SCAN)

Data for a crystal of AgRuAu relaxed with PBEsol.

Space group: Fmm2, No. 42

```
AgRuAu
1.0
-1.2083 -0.9053 -2.2633
0.0086 -1.6369 2.1732
-5.6445 4.1405 2.2311
Ag Au Ru
1 1 1
direct
0.9979 0.9979 0.9957
0.6686 0.6686 0.3371
0.3336 0.3336 0.6672
```

=====

## y
## AgRuAu (SCAN)

Data for a crystal of AgRuAu relaxed with PBEsol.

Space group: P3m1, No. 156

```
AgRuAu
1.0
-0.0921 -0.5031 2.6308
-0.5664 -4.4081 -0.8627
4.1708 1.6968 0.4705
Ag Au Ru
1 1 1
direct
0.9463 0.0000 0.0000
0.7263 0.3333 0.6667
0.3275 0.6667 0.3333
```

=====

Least stable of them? y.

=====

## w
## Ag3AuS2 (SCAN)

Data for a crystal of Ag3AuS2 relaxed with PBEsol.

Space group: R-3m, No. 166

```
Ag3AuS2
1.0
-0.1995 -4.7483 2.3214
3.8774 1.8806 3.0666
-3.9342 2.0999 2.8439
S Au Ag
2 1 3
direct
0.7736 0.7736 0.7736
0.2264 0.2264 0.2264
0.5000 0.5000 0.5000
0.0000 0.0000 0.5000
0.0000 0.5000 0.0000
0.5000 0.0000 0.0000
```

=====

## x
## Ag3AuS2 (SCAN)

Data for a crystal of Ag3AuS2 relaxed with PBEsol.

Space group: P4_132, No. 213

```
Ag3AuS2
1.0
9.5770 0.0000 0.0000
0.0000 9.5770 0.0000
0.0000 0.0000 9.5770
Ag Au S
24 8 16
direct
0.2499 0.3813 0.9999
0.5001 0.7501 0.8813
0.7499 0.1187 0.0001
0.9999 0.2499 0.3813
0.2501 0.6187 0.4999
0.7501 0.8813 0.5001
0.4999 0.2501 0.6187
0.8813 0.5001 0.7501
0.6187 0.4999 0.2501
0.1187 0.0001 0.7499
0.7499 0.6313 0.0001
0.7501 0.3687 0.5001
0.4999 0.2501 0.1313
0.5001 0.7501 0.3687
0.8687 0.9999 0.2499
0.3687 0.5001 0.7501
0.2501 0.1313 0.4999
0.0001 0.7499 0.6313
0.9999 0.2499 0.8687
0.1313 0.4999 0.2501
0.6313 0.0001 0.7499
0.3813 0.9999 0.2499
0.0001 0.7499 0.1187
0.2499 0.8687 0.9999
0.6253 0.6253 0.6253
0.8753 0.6247 0.3753
0.6247 0.3753 0.8753
0.3753 0.8753 0.6247
0.1253 0.8747 0.3747
0.8747 0.3747 0.1253
0.3747 0.1253 0.8747
0.1247 0.1247 0.1247
0.7669 0.7669 0.7669
0.0169 0.4831 0.5169
0.4831 0.5169 0.0169
0.5169 0.0169 0.4831
0.2669 0.7331 0.2331
0.7331 0.2331 0.2669
0.2331 0.2669 0.7331
0.9831 0.9831 0.9831
0.7663 0.2337 0.7337
0.2337 0.7337 0.7663
0.9837 0.0163 0.5163
0.0163 0.5163 0.9837
0.5163 0.9837 0.0163
0.2663 0.2663 0.2663
0.4837 0.4837 0.4837
0.7337 0.7663 0.2337
```

=====

Least stable of them? w.